Entry 1:
This record from Alexandria via LeMat-Bulk describes a relaxed structure of PPdSe2. The functional is GGA-PBE.

## Properties
The calculated total energy is -16.99 eV/f.u. As for the crystal system: tetragonal. The uncorrected formation energy is 0.1445 eV per atom.

Cell: 5.602 5.602 12.144 Å, 90.00 90.00 90.00°
Space group I-42d (No. 122)
Symmetry-distinct sites (fractional):
P 0.000 0.000 0.000
Pd 0.000 0.000 0.500
Se 0.245 0.250 0.125

---

Entry 2:
This record from Alexandria via LeMat-Bulk describes a relaxed structure of PPd5Se12. The functional is GGA-PBE.

## Properties
The calculated total energy is -76.95 eV/f.u. As for the crystal system: monoclinic. The uncorrected formation energy is -0.2087 eV per atom.

Cell: 6.385 11.155 11.066 Å, 90.00 90.09 90.00°
Space group C2/m (No. 12)
Symmetry-distinct sites (fractional):
P 0.000 0.000 0.000
Pd 0.000 0.167 0.500
Pd 0.000 0.333 0.000
Pd 0.000 0.500 0.500
Se 0.161 0.160 0.123
Se 0.165 0.000 0.378
Se 0.167 0.334 0.379
Se 0.178 0.500 0.124

---

Entry 3:
This record from Alexandria via LeMat-Bulk describes a relaxed structure of PPd2Se. The functional is GGA-PBE.

## Properties
The calculated total energy is -19.93 eV/f.u. As for the crystal system: tetragonal. The uncorrected formation energy is -0.1623 eV per atom.

Cell: 4.622 4.622 14.361 Å, 90.00 90.00 90.00°
Space group I-42d (No. 122)
Symmetry-distinct sites (fractional):
P 0.000 0.000 0.000
Pd 0.193 0.250 0.125
Se 0.000 0.000 0.500